This record from the Alexandria database describes an optimized crystal structure of NiSO. The functional is PBE+U.

abc: 3.479 3.479 7.750
angles: 99.14 99.14 84.15
Each line ends with the local moment (μB).
Fractional positions:
Ni 0.256 0.256 0.821  1.70
S 0.202 0.202 0.286  0.10
O 0.342 0.342 0.106  0.10
S 0.798 0.798 0.714  0.10
O 0.658 0.658 0.894  0.10
Ni 0.744 0.744 0.179  1.70

**VASP energy**: -24.57 eV for the cell shown
**Space group**: C2/m
**Magnetic moment**: 2.0 μB/f.u.